Record 1
Pm3PrB4O12 | PBE | relaxed

Calculated values
The total magnetic moment comes out at 0.00 μB per formula unit. Its energy relative to the elements, uncorrected is -5809 kJ/mol of formula units.

The structure in CIF format:
```
data_Pm3PrB4O12
_symmetry_space_group_name_H-M 'R 3 2'
_symmetry_Int_Tables_number 155
_symmetry_space_group_name_Hall 'R 3 2"'
_cell_length_a 10.3363
_cell_length_b 10.3363
_cell_length_c 8.8705
_cell_angle_alpha 90.00
_cell_angle_beta 90.00
_cell_angle_gamma 120.00
loop_
_atom_site_label
_atom_site_fract_x
_atom_site_fract_y
_atom_site_fract_z
Pm1 0.0000 0.5279 0.0000
Pr1 0.0000 0.0000 0.0000
B1 0.0000 0.0000 0.5000
B2 0.0000 0.4705 0.5000
O1 0.0000 0.6039 0.5000
O2 0.0000 0.8665 0.5000
O3 0.0041 0.1966 0.8333
```

Record 2
Y4W | PBE | relaxed

Calculated values
The value obtained for the excess energy over the best structure of this formula in the dataset is 0.687 eV per atom. The total magnetic moment comes out at 0.00 μB per formula unit. As for the energy of formation from the pure elements: 0.9921 eV/atom.

The structure in CIF format:
```
data_Y4W
_symmetry_space_group_name_H-M 'I 4/m m m'
_symmetry_Int_Tables_number 139
_symmetry_space_group_name_Hall '-I 4 2'
_cell_length_a 4.105
_cell_length_b 4.105
_cell_length_c 17.376
_cell_angle_alpha 90.00
_cell_angle_beta 90.00
_cell_angle_gamma 90.00
loop_
_atom_site_label
_atom_site_fract_x
_atom_site_fract_y
_atom_site_fract_z
Y1 0.000 0.000 0.085
Y2 0.000 0.500 0.250
W1 0.000 0.000 0.500
```

Record 3
MgPd | PBE | relaxed

Calculated values
The total magnetic moment comes out at 0.00 μB per formula unit. As for the energy of formation from the pure elements: -0.5279 eV/atom.

The structure in CIF format:
```
data_MgPd
_symmetry_space_group_name_H-M 'I 4/m m m'
_symmetry_Int_Tables_number 139
_symmetry_space_group_name_Hall '-I 4 2'
_cell_length_a 8.159
_cell_length_b 8.159
_cell_length_c 4.412
_cell_angle_alpha 90.00
_cell_angle_beta 90.00
_cell_angle_gamma 90.00
loop_
_atom_site_label
_atom_site_fract_x
_atom_site_fract_y
_atom_site_fract_z
Mg1 0.000 0.276 0.000
Pd1 0.171 0.171 0.500
```